(1)
Computed, not measured: CsAg5Cl8 after structural relaxation at the PBE level of DFT.

energy relative to the elements, uncorrected = -632.0 meV per atom
DFT total energy = -2.77 eV per atom
DOS(E_F) = 8.45 states/eV/cell
M_tot = 0.000 μB/f.u.
excess energy over the best structure of this formula in the dataset = 0 meV/atom

Geometry as POSCAR:
```
CsAg5Cl8
1.0
4.2333 0.0000 0.0000
1.0987 9.4103 0.0000
1.9385 2.3199 9.3267
Cs Ag Cl
1 5 8
Direct
0.0000 0.0000 0.0000
0.0978 0.4715 0.6820
0.2222 0.8335 0.5863
0.5000 0.5000 0.0000
0.7778 0.1665 0.4137
0.9022 0.5285 0.3180
0.1360 0.6685 0.8391
0.2790 0.3384 0.4793
0.2822 0.0035 0.3341
0.4520 0.6765 0.1560
0.5480 0.3235 0.8440
0.7178 0.9965 0.6659
0.7210 0.6616 0.5207
0.8640 0.3315 0.1609
```



(2)
Computed, not measured: Ce3Nd3TmSe8 after structural relaxation at the PBE level of DFT.

energy relative to the elements, uncorrected = -1861.5 meV per atom
DFT total energy = -6.16 eV per atom
DOS(E_F) = 21.17 states/eV/cell
M_tot = 3.540 μB/f.u.

Geometry as POSCAR:
```
Ce3Nd3TmSe8
1.0
4.2043 2.4274 6.8646
-4.2043 2.4274 6.8646
0.0000 -4.8547 6.8646
Ce Nd Tm Se
3 3 1 8
Direct
0.0000 0.5000 0.5000
0.5000 0.0000 0.5000
0.5000 0.5000 0.0000
0.0000 0.0000 0.5000
0.0000 0.5000 0.0000
0.5000 0.0000 0.0000
0.0000 0.0000 0.0000
0.2430 0.2430 0.7564
0.2430 0.7564 0.2430
0.2436 0.7570 0.7570
0.2505 0.2505 0.2505
0.7495 0.7495 0.7495
0.7564 0.2430 0.2430
0.7570 0.2436 0.7570
0.7570 0.7570 0.2436
```



(3)
Computed, not measured: TePSN2 after structural relaxation at the PBE level of DFT.

energy relative to the elements, uncorrected = 971.3 meV per atom
DFT total energy = -4.89 eV per atom
DOS(E_F) = 2.61 states/eV/cell
M_tot = 0.514 μB/f.u.
excess energy over the best structure of this formula in the dataset = 0 meV/atom

Geometry as POSCAR:
```
TePSN2
1.0
3.5455 0.0000 0.0000
0.0000 3.5455 0.0000
0.0000 0.0000 6.1971
Te P S N
1 1 1 2
Direct
0.0000 0.0000 0.0000
0.0000 0.0000 0.5000
0.5000 0.5000 0.0000
0.0000 0.5000 0.5000
0.5000 0.0000 0.5000
```



(4)
Computed, not measured: Rb2PdPtO4 after structural relaxation at the PBE level of DFT.

energy relative to the elements, uncorrected = -828.6 meV per atom
DFT total energy = -4.95 eV per atom
DOS(E_F) = 8.57 states/eV/cell
M_tot = 2.014 μB/f.u.

Geometry as POSCAR:
```
Rb2PdPtO4
1.0
0.0000 7.0107 9.8599
3.0168 0.0000 9.8599
3.0168 7.0107 0.0000
Rb Pd Pt O
4 2 2 8
Direct
0.0455 0.0455 0.7045
0.2955 0.2955 0.9545
0.7045 0.7045 0.0455
0.9545 0.9545 0.2955
0.1250 0.1250 0.1250
0.8750 0.8750 0.8750
0.3750 0.3750 0.3750
0.6250 0.6250 0.6250
0.0353 0.7134 0.5293
0.2220 0.5293 0.7134
0.2866 0.9647 0.7780
0.4707 0.7780 0.9647
0.5293 0.2220 0.0353
0.7134 0.0353 0.2220
0.7780 0.4707 0.2866
0.9647 0.2866 0.4707
```



(5)
Computed, not measured: MgFe2Pb after structural relaxation at the PBE level of DFT.

DFT total energy = -4.84 eV per atom
DOS(E_F) = 7.90 states/eV/cell
M_tot = 5.194 μB/f.u.

Geometry as POSCAR:
```
MgFe2Pb
1.0
-3.6795 3.6795 2.7777
3.6795 -3.6795 2.7777
3.6795 3.6795 -2.7777
Mg Fe Pb
2 4 2
Direct
0.0000 0.0000 0.0000
0.7500 0.2500 0.5000
0.1229 0.6250 0.9979
0.3750 0.3729 0.4979
0.6271 0.1250 0.0021
0.8750 0.8771 0.5021
0.2500 0.7500 0.5000
0.5000 0.5000 0.0000
```



(6)
Computed, not measured: BaScSi2 after structural relaxation at the PBE level of DFT.

energy relative to the elements, uncorrected = -16.4 meV per atom
DFT total energy = -4.79 eV per atom
DOS(E_F) = 2.44 states/eV/cell
M_tot = 0.000 μB/f.u.
excess energy over the best structure of this formula in the dataset = 422 meV/atom

Geometry as POSCAR:
```
BaScSi2
1.0
-2.4410 2.4410 4.0280
2.4410 -2.4410 4.0280
2.4410 2.4410 -4.0280
Ba Sc Si
1 1 2
Direct
0.0000 0.0000 0.0000
0.5000 0.5000 0.0000
0.2500 0.7500 0.5000
0.7500 0.2500 0.5000
```



(7)
Computed, not measured: La8Tm3 after structural relaxation at the PBE level of DFT.

DFT total energy = -4.78 eV per atom
DOS(E_F) = 19.93 states/eV/cell
M_tot = 0.000 μB/f.u.

Geometry as POSCAR:
```
La8Tm3
1.0
5.8177 -2.5820 0.0000
5.8177 2.5820 0.0000
-3.3765 0.0000 12.7864
La Tm
8 3
Direct
0.0476 0.0476 0.3178
0.1367 0.1367 0.9539
0.2271 0.2271 0.5898
0.3204 0.3204 0.2271
0.6796 0.6796 0.7729
0.7729 0.7729 0.4102
0.8633 0.8633 0.0461
0.9524 0.9524 0.6822
0.4082 0.4082 0.8665
0.5000 0.5000 0.5000
0.5918 0.5918 0.1335
```



(8)
Computed, not measured: ThMg6Tl6 after structural relaxation at the PBE level of DFT.

DFT total energy = -2.45 eV per atom
DOS(E_F) = 5.64 states/eV/cell
M_tot = 0.000 μB/f.u.

Geometry as POSCAR:
```
ThMg6Tl6
1.0
-3.0954 4.8995 5.3651
3.0954 -4.8995 5.3651
3.0954 4.8995 -5.3651
Th Mg Tl
1 6 6
Direct
0.0000 0.0000 0.0000
0.0000 0.0000 0.5000
0.0000 0.5000 0.0000
0.2473 0.5000 0.7473
0.5000 0.0000 0.0000
0.5000 0.5000 0.5000
0.7527 0.5000 0.2527
0.1620 0.6620 0.5000
0.3344 0.3344 0.0000
0.3424 0.0000 0.3424
0.6576 0.0000 0.6576
0.6656 0.6656 0.0000
0.8380 0.3380 0.5000
```



(9)
Computed, not measured: Ca2CoAs after structural relaxation at the PBE level of DFT.

DFT total energy = -4.42 eV per atom
DOS(E_F) = 2.96 states/eV/cell
M_tot = 0.249 μB/f.u.

Geometry as POSCAR:
```
Ca2CoAs
1.0
4.1852 0.0000 0.0000
0.0000 2.2069 5.0409
0.0000 -2.2069 5.0409
Ca Co As
2 1 1
Direct
0.0000 0.0000 0.0000
0.5000 0.2891 0.2891
0.0000 0.6921 0.6921
0.5000 0.5940 0.5940
```